Ca4CdGaAg2 | PBE-GGA | relaxed

Lattice parameters (Å, degrees): 9.157 9.157 9.157 33.52 33.52 33.52
Fractional coordinates of all 8 atoms:
Ca1 0.121 0.121 0.121
Ca2 0.372 0.372 0.372
Ca3 0.628 0.628 0.628
Ca4 0.879 0.879 0.879
Cd1 0.500 0.500 0.500
Ga1 0.000 0.000 0.000
Ag1 0.248 0.248 0.248
Ag2 0.752 0.752 0.752

## Properties
- VASP energy (eV per atom) = -2.554
- ΔE_f (eV per formula unit) = -2.78